First-principles (PBE) data for a relaxed NiSn2Br crystal, as listed in the Alexandria database.

abc: 6.2293 6.2293 7.8214
angles: 66.53 66.53 90.00
Fractional coordinates of all 8 atoms:
Ni: 0.5000 0.5000 0.0000
Ni: 0.2500 0.7500 0.5000
Sn: 0.5228 0.1250 0.2500
Sn: 0.8750 0.7728 0.7500
Sn: 0.2272 0.6250 0.2500
Sn: 0.3750 0.4772 0.7500
Br: 0.7500 0.2500 0.5000
Br: 0.0000 0.0000 0.0000

Calculated values
V, Å³ per atom: 31.350
VASP energy, eV per atom: -3.8551
ρ, g/cm3: 4.979
N(E_F), states/eV per cell: 5.3
E above lowest polymorph, eV per atom: 0.0000
Energy relative to the elements, uncorrected, eV per atom: 0.01